A plane-wave DFT calculation with GGA-PBE was carried out for a relaxed structure of Zr2Si3W4N3.

The crystal system is monoclinic.

The structure in CIF format:
```
data_Zr2Si3W4N3
_symmetry_space_group_name_H-M 'C 1 2/c 1'
_symmetry_Int_Tables_number 15
_symmetry_space_group_name_Hall '-C 2yc'
_cell_length_a 8.947
_cell_length_b 5.217
_cell_length_c 13.766
_cell_angle_alpha 90.00
_cell_angle_beta 102.63
_cell_angle_gamma 90.00
loop_
_atom_site_label
_atom_site_type_symbol
_atom_site_fract_x
_atom_site_fract_y
_atom_site_fract_z
Zr1 Zr 0.042 0.081 0.379
Si1 Si 0.000 0.426 0.750
Si2 Si 0.246 0.164 0.750
W1 W 0.114 0.425 0.591
W2 W 0.215 0.417 0.908
N1 N 0.077 0.230 0.000
N2 N 0.250 0.250 0.500
```

***

A plane-wave DFT calculation with GGA-PBE was carried out for a relaxed structure of TlCuPbS3.

The calculation puts the distance to the lowest polymorph of the same formula at 0.000 eV per atom. The crystal system is monoclinic.

The structure in CIF format:
```
data_TlCuPbS3
_symmetry_space_group_name_H-M 'P 1 21/m 1'
_symmetry_Int_Tables_number 11
_symmetry_space_group_name_Hall '-P 2yb'
_cell_length_a 7.923
_cell_length_b 3.952
_cell_length_c 10.078
_cell_angle_alpha 90.00
_cell_angle_beta 108.52
_cell_angle_gamma 90.00
loop_
_atom_site_label
_atom_site_type_symbol
_atom_site_fract_x
_atom_site_fract_y
_atom_site_fract_z
Tl1 Tl 0.237 0.250 0.202
Cu1 Cu 0.429 0.250 0.921
Pb1 Pb 0.189 0.750 0.645
S1 S 0.070 0.750 0.359
S2 S 0.274 0.750 0.939
S3 S 0.444 0.250 0.693
```

***

Number 1: electronic total energy -460.09 eV/cell. Number 2: electronic total energy -46.78 eV/cell.